BeRhS2 | GGA-PBEsol | relaxed

```
data_BeRhS2
_space_group_name_H-M_alt 'R -3 m'
_space_group_IT_number 166
_space_group_name_Hall '-R 3 2"'
_cell_length_a 3.5532
_cell_length_b 3.5532
_cell_length_c 18.7577
_cell_angle_alpha 90.00
_cell_angle_beta 90.00
_cell_angle_gamma 120.00
loop_
_atom_site_label
_atom_site_fract_x
_atom_site_fract_y
_atom_site_fract_z
_atom_site_occupancy
Be1 0.0000 0.0000 0.0000 1
Rh1 0.0000 0.0000 0.5000 1
S1 0.0000 0.0000 0.1035 1
```

BeSbRh | GGA-PBEsol | relaxed

```
data_BeSbRh
_space_group_name_H-M_alt 'P -6 m 2'
_space_group_IT_number 187
_space_group_name_Hall 'P -6 2'
_cell_length_a 3.9675
_cell_length_b 3.9675
_cell_length_c 3.3692
_cell_angle_alpha 90.00
_cell_angle_beta 90.00
_cell_angle_gamma 120.00
loop_
_atom_site_label
_atom_site_fract_x
_atom_site_fract_y
_atom_site_fract_z
_atom_site_occupancy
Be1 0.0000 0.0000 0.0000 1
Sb1 0.3333 0.6667 0.5000 1
Rh1 0.6667 0.3333 0.0000 1
```

BeSbRh2 | GGA-PBEsol | relaxed

```
data_BeSbRh2
_space_group_name_H-M_alt 'P 4 m m'
_space_group_IT_number 99
_cell_length_a 3.166
_cell_length_b 3.166
_cell_length_c 5.807
_cell_angle_alpha 90.00
_cell_angle_beta 90.00
_cell_angle_gamma 90.00
loop_
_space_group_symop_operation_xyz
'x,y,z'
'-y,x,z'
'-x,-y,z'
'y,-x,z'
'-x,y,z'
'y,x,z'
'x,-y,z'
'-y,-x,z'
loop_
_atom_site_label
_atom_site_fract_x
_atom_site_fract_y
_atom_site_fract_z
_atom_site_occupancy
Be1 0.000 0.000 0.000 1
Sb1 0.500 0.500 0.645 1
Rh1 0.000 0.000 0.412 1
Rh2 0.500 0.500 0.089 1
```

Number 1: formation energy without anion corrections -0.26 eV/atom, size of the total moment 0.0 μB per cell, calculated total energy -5.49 eV/atom. Number 2: formation energy without anion corrections -0.08 eV/atom, size of the total moment 0.0 μB per cell, calculated total energy -5.65 eV/atom. Number 3: formation energy without anion corrections -0.23 eV/atom, size of the total moment 0.0 μB per cell, calculated total energy -6.44 eV/atom.